First-principles (GGA-PBE) data for a relaxed structure of Mg6Ag3Rh, as listed in Alexandria.

abc: 8.038 4.710 10.139
angles: 90.00 107.12 90.00
Atoms (fractional coordinates):
Mg1 0.037 0.250 0.405
Mg2 0.148 0.750 0.182
Mg3 0.274 0.250 0.998
Mg4 0.355 0.250 0.298
Mg5 0.358 0.750 0.824
Mg6 0.431 0.250 0.611
Mg7 0.569 0.750 0.389
Mg8 0.642 0.250 0.176
Mg9 0.645 0.750 0.702
Mg10 0.726 0.750 0.002
Mg11 0.852 0.250 0.818
Mg12 0.963 0.750 0.595
Ag1 0.047 0.750 0.894
Ag2 0.144 0.250 0.709
Ag3 0.257 0.750 0.484
Ag4 0.743 0.250 0.516
Ag5 0.856 0.750 0.291
Ag6 0.953 0.250 0.106
Rh1 0.447 0.750 0.112
Rh2 0.553 0.250 0.888

The magnetization comes out at 0.000 μB/atom. The calculation puts the density of states at the Fermi level at 0.366 states/eV/atom. The formation energy is -2.583 eV per formula unit.

First-principles (GGA-PBE) data for a relaxed structure of Mg3AgRh, as listed in Alexandria.

abc: 7.402 7.402 8.518
angles: 118.20 118.20 74.54
Atoms (fractional coordinates):
Mg1 0.056 0.335 0.548
Mg2 0.065 0.754 0.907
Mg3 0.246 0.935 0.593
Mg4 0.333 0.380 0.942
Mg5 0.335 0.056 0.048
Mg6 0.380 0.333 0.442
Mg7 0.620 0.667 0.558
Mg8 0.665 0.944 0.952
Mg9 0.667 0.620 0.058
Mg10 0.754 0.065 0.407
Mg11 0.935 0.246 0.093
Mg12 0.944 0.665 0.452
Ag1 0.165 0.566 0.214
Ag2 0.434 0.835 0.286
Ag3 0.566 0.165 0.714
Ag4 0.835 0.434 0.786
Rh1 0.023 0.977 0.250
Rh2 0.344 0.656 0.750
Rh3 0.656 0.344 0.250
Rh4 0.977 0.023 0.750

The magnetization comes out at 0.000 μB/atom. The calculation puts the density of states at the Fermi level at 0.364 states/eV/atom. The formation energy is -1.059 eV per formula unit. As for the relative energy among the computed polymorphs: 0.54 eV/f.u.